Ba2YSb: relaxed, GGA-PBEsol.

The space group is P4/mmm (No. 123) and the conventional cell measures 4.944, 4.944 and 5.466 Å, with angles of 90.00, 90.00 and 90.00 degrees. The inequivalent atoms are Ba at (0.000, 0.500, 0.000), Y at (0.000, 0.000, 0.500) and Sb at (0.500, 0.500, 0.500).

The total energy is -4.292 eV per atom. The value obtained for the formation energy without anion corrections is -0.373 eV per atom.